DFT (PBE with a Hubbard U) results for LiGaMo2O8 after structural relaxation.

abc: 6.8267 7.1979 7.5099
angles: 91.06 110.73 104.88
Last column: nearest neighbours and their distance in Å.
Atoms (fractional coordinates):
Li: 0.2331 0.5533 0.7579  4 O 2.00-2.22
Li: 0.7669 0.4467 0.2421  4 O 2.00-2.22
Ga: 0.4070 0.0999 0.3192  6 O 1.95-2.05
Ga: 0.5930 0.9001 0.6808  6 O 1.95-2.05
Mo: 0.8233 0.9674 0.2121  4 O 1.77-1.82
Mo: 0.1767 0.0326 0.7879  4 O 1.77-1.82
Mo: 0.6644 0.4226 0.7093  4 O 1.74-1.90
Mo: 0.3356 0.5774 0.2907  4 O 1.74-1.90
O: 0.2460 0.0416 0.0425  1 Mo 1.80, 1 Ga 1.95
O: 0.7540 0.9584 0.9575  1 Mo 1.80, 1 Ga 1.95
O: 0.2636 0.5784 0.0439  1 Mo 1.74
O: 0.6891 0.1326 0.2741  1 Mo 1.82, 1 Ga 2.03
O: 0.5764 0.1570 0.6094  1 Mo 1.90, 2 Ga 1.95-2.05
O: 0.2743 0.2714 0.7406  1 Mo 1.77
O: 0.7257 0.7286 0.2594  1 Mo 1.77
O: 0.4864 0.3843 0.3509  1 Mo 1.90, 1 Ga 1.97
O: 0.1154 0.0548 0.3394  1 Mo 1.81, 1 Ga 1.99
O: 0.5136 0.6157 0.6491  1 Mo 1.90, 1 Ga 1.97
O: 0.8846 0.9452 0.6606  1 Mo 1.81, 1 Ga 1.99
O: 0.0885 0.4829 0.3206  1 Mo 1.74
O: 0.9115 0.5171 0.6794  1 Mo 1.74
O: 0.3109 0.8674 0.7259  1 Mo 1.82, 1 Ga 2.03
O: 0.4236 0.8430 0.3906  1 Mo 1.90, 2 Ga 1.95-2.05
O: 0.7364 0.4216 0.9561  1 Mo 1.74

## Properties
**Spin magnetization**: 0.01 μB per cell
**Uncorrected energy**: -6.62 eV/atom
**DOS(E_F)**: 0.000 states/eV/atom
**Mass density**: 3.977 Mg/m³
**Space-group type**: P-1, No. 2